5
Lattice="4.826 0.000 0.000 0.000 4.826 0.000 0.000 0.000 5.424" Properties=species:S:1:pos:R:3 comment="GGA-PBE LiCa2LaO, optimized geometry" total_magnetization_mub_per_cell=0.0 final_energy_ev_per_atom=-4.182 rho_g_cm3=3.18 crystal_system=tetragonal e_form_raw_ev_per_atom=-1.022 pbc="T T T"
Li 0.000 0.000 0.000
Ca 0.000 2.413 2.712
Ca 2.413 0.000 2.712
La 2.413 2.413 0.000
O 2.413 2.413 2.712



11
Lattice="3.371 -5.815 0.000 3.371 5.815 0.000 -2.239 0.000 6.339" Properties=species:S:1:pos:R:3 comment="GGA-PBE Tb2Er3S6, optimized geometry" total_magnetization_mub_per_cell=0.0 final_energy_ev_per_atom=-6.407 rho_g_cm3=6.76 crystal_system=monoclinic e_form_raw_ev_per_atom=-2.070 pbc="T T T"
Tb 3.371 3.892 0.000
Tb 3.371 -3.892 0.000
Er -1.120 0.000 3.169
Er 2.252 1.899 3.169
Er 2.252 -1.899 3.169
S 0.009 1.935 4.719
S 1.143 0.000 1.588
S 0.009 -1.935 4.719
S 4.495 1.935 1.620
S 3.360 0.000 4.750
S 4.495 -1.935 1.620



8
Lattice="3.123 0.000 0.000 0.000 6.033 0.000 0.000 0.000 12.449" Properties=species:S:1:pos:R:3 comment="GGA-PBE SbMoBr2, optimized geometry" total_magnetization_mub_per_cell=2.7 final_energy_ev_per_atom=-4.257 e_above_lowest_polymorph_kj_per_mol_fu=161.2 rho_g_cm3=5.35 crystal_system=orthorhombic e_form_raw_ev_per_atom=0.318 pbc="T T T"
Sb 0.000 0.000 0.000
Sb 1.562 3.016 0.000
Mo 0.000 0.000 6.224
Mo 1.562 3.016 6.224
Br 0.000 3.016 4.180
Br 0.000 3.016 8.269
Br 1.562 0.000 4.180
Br 1.562 0.000 8.269



16
Lattice="4.204 0.000 0.000 0.000 23.481 0.000 0.000 0.000 4.585" Properties=species:S:1:pos:R:3 comment="GGA-PBE Nd2CuTe, optimized geometry" total_magnetization_mub_per_cell=0.0 final_energy_ev_per_atom=-4.944 e_above_lowest_polymorph_kj_per_mol_fu=0.0 rho_g_cm3=7.04 crystal_system=orthorhombic e_form_raw_ev_per_atom=-0.750 pbc="T T T"
Nd 0.000 1.380 1.146
Nd 0.000 7.822 1.146
Nd 0.000 15.659 3.439
Nd 0.000 22.101 3.439
Nd 2.102 3.919 3.439
Nd 2.102 10.360 3.439
Nd 2.102 13.121 1.146
Nd 2.102 19.562 1.146
Cu 0.000 10.989 1.146
Cu 0.000 12.492 3.439
Cu 2.102 0.752 3.439
Cu 2.102 22.729 1.146
Te 0.000 4.566 1.146
Te 0.000 18.915 3.439
Te 2.102 7.175 3.439
Te 2.102 16.306 1.146



20
Lattice="5.383 -6.330 0.000 5.383 6.330 0.000 0.000 0.000 6.905" Properties=species:S:1:pos:R:3 comment="GGA-PBE TbCe6Co3, optimized geometry" total_magnetization_mub_per_cell=2.6 final_energy_ev_per_atom=-6.243 rho_g_cm3=8.30 crystal_system=orthorhombic ef_ev_per_fu=-0.9 pbc="T T T"
Tb 5.383 4.149 3.453
Tb 5.383 -4.149 0.000
Ce 2.941 2.312 4.907
Ce 1.768 0.645 2.415
Ce 1.768 -0.645 5.867
Ce 5.383 2.822 0.300
Ce 5.383 0.588 2.176
Ce 2.941 -2.312 1.455
Ce 7.824 2.312 4.907
Ce 5.383 -0.588 5.628
Ce 5.383 -2.822 3.753
Ce 8.997 0.645 2.415
Ce 8.997 -0.645 5.867
Ce 7.824 -2.312 1.455
Co 5.383 5.366 0.978
Co 3.194 1.174 0.167
Co 3.194 -1.174 3.619
Co 7.571 1.174 0.167
Co 7.571 -1.174 3.619
Co 5.383 -5.366 4.431



10
Lattice="3.450 0.000 0.000 0.000 3.450 0.000 0.000 0.000 17.239" Properties=species:S:1:pos:R:3 comment="GGA-PBE TbPa4Tc5, optimized geometry" total_magnetization_mub_per_cell=0.0 final_energy_ev_per_atom=-9.626 rho_g_cm3=12.73 crystal_system=tetragonal ef_ev_per_fu=-1.8 pbc="T T T"
Tb 0.000 0.000 0.000
Pa 0.000 0.000 3.439
Pa 0.000 0.000 6.917
Pa 0.000 0.000 10.322
Pa 0.000 0.000 13.800
Tc 1.725 1.725 2.021
Tc 1.725 1.725 5.182
Tc 1.725 1.725 8.620
Tc 1.725 1.725 12.057
Tc 1.725 1.725 15.218



8
Lattice="9.792 0.000 0.000 0.000 2.954 0.000 -0.595 0.000 7.535" Properties=species:S:1:pos:R:3 comment="GGA-PBE KZrAl2, optimized geometry" total_magnetization_mub_per_cell=0.0 final_energy_ev_per_atom=-4.064 e_above_lowest_polymorph_kj_per_mol_fu=85.9 rho_g_cm3=2.81 crystal_system=monoclinic ef_ev_per_fu=0.9 pbc="T T T"
K 0.000 0.000 0.000
K 4.896 1.477 0.000
Zr -0.298 1.477 3.768
Zr 4.598 0.000 3.768
Al 1.991 0.000 4.987
Al 2.310 1.477 2.548
Al 6.887 1.477 4.987
Al 7.205 0.000 2.548



18
Lattice="4.667 2.695 6.445 -4.667 2.695 6.445 0.000 -5.389 6.445" Properties=species:S:1:pos:R:3 comment="GGA-PBE La2DyIn12Ni3, optimized geometry" total_magnetization_mub_per_cell=0.0 final_energy_ev_per_atom=-3.655 rho_g_cm3=6.81 crystal_system=trigonal ef_ev_per_fu=-1.1 pbc="T T T"
La 0.000 0.000 1.477
La 0.000 0.000 17.857
Dy 0.000 0.000 9.667
In -2.898 -1.673 8.906
In 0.000 -2.126 6.893
In -1.841 1.063 6.893
In 0.000 -3.347 10.428
In -2.898 1.673 10.428
In -1.841 -1.063 12.442
In 1.841 1.063 6.893
In 2.898 -1.673 8.906
In 0.000 3.347 8.906
In 1.841 -1.063 12.442
In 0.000 2.126 12.442
In 2.898 1.673 10.428
Ni -2.334 -1.347 6.445
Ni -2.334 1.347 12.890
Ni 0.000 2.695 6.445



10
Lattice="2.743 0.000 0.000 0.000 2.743 0.000 0.000 0.000 18.539" Properties=species:S:1:pos:R:3 comment="GGA-PBE Ni4AgPd5, optimized geometry" total_magnetization_mub_per_cell=4.2 final_energy_ev_per_atom=-5.163 rho_g_cm3=10.41 crystal_system=tetragonal ef_ev_per_fu=0.3 pbc="T T T"
Ni 0.000 0.000 1.784
Ni 0.000 0.000 5.341
Ni 0.000 0.000 13.198
Ni 0.000 0.000 16.756
Ag 0.000 0.000 9.270
Pd 1.372 1.372 0.000
Pd 1.372 1.372 3.564
Pd 1.372 1.372 7.105
Pd 1.372 1.372 11.435
Pd 1.372 1.372 14.975



5
Lattice="4.556 0.000 0.000 0.000 4.556 0.000 0.000 0.000 4.556" Properties=species:S:1:pos:R:3 comment="GGA-PBE FeGeMo3, optimized geometry" total_magnetization_mub_per_cell=0.0 final_energy_ev_per_atom=-7.350 e_above_lowest_polymorph_kj_per_mol_fu=311.7 rho_g_cm3=7.31 crystal_system=cubic ef_ev_per_fu=8.8 pbc="T T T"
Fe 0.000 0.000 0.000
Ge 2.278 2.278 2.278
Mo 0.000 2.278 2.278
Mo 2.278 0.000 2.278
Mo 2.278 2.278 0.000



4
Lattice="3.235 0.000 0.000 -0.452 5.449 0.000 -1.182 -2.011 5.300" Properties=species:S:1:pos:R:3 comment="GGA-PBE GaSn, optimized geometry" total_magnetization_mub_per_cell=0.0 final_energy_ev_per_atom=-3.463 rho_g_cm3=6.70 crystal_system=triclinic ef_ev_per_fu=0.1 pbc="T T T"
Ga -0.090 1.235 1.558
Ga 1.691 2.203 3.741
Sn 0.499 -0.608 4.184
Sn 1.102 4.046 1.115



18
Lattice="8.196 -2.016 0.000 8.196 2.016 0.000 -3.168 0.000 9.429" Properties=species:S:1:pos:R:3 comment="GGA-PBE CeSi2Pd3, optimized geometry" total_magnetization_mub_per_cell=1.3 final_energy_ev_per_atom=-6.245 rho_g_cm3=8.24 crystal_system=monoclinic e_form_raw_ev_per_atom=-0.852 pbc="T T T"
Ce 0.000 0.000 0.000
Ce 0.352 0.000 6.564
Ce 12.873 0.000 2.865
Si 2.862 0.000 1.242
Si 4.210 0.000 5.203
Si 6.877 0.000 2.113
Si 6.348 0.000 7.315
Si 9.015 0.000 4.225
Si 10.363 0.000 8.187
Pd -0.372 0.000 3.132
Pd 2.364 0.000 3.701
Pd 5.148 0.000 0.339
Pd 3.652 0.000 7.565
Pd 6.612 0.000 4.714
Pd 9.573 0.000 1.863
Pd 8.076 0.000 9.089
Pd 10.860 0.000 5.728
Pd 13.597 0.000 6.297



What did the ninth record say?
10
Lattice="2.743 0.000 0.000 0.000 2.743 0.000 0.000 0.000 18.539" Properties=species:S:1:pos:R:3 comment="GGA-PBE Ni4AgPd5, optimized geometry" total_magnetization_mub_per_cell=4.2 final_energy_ev_per_atom=-5.163 rho_g_cm3=10.41 crystal_system=tetragonal ef_ev_per_fu=0.3 pbc="T T T"
Ni 0.000 0.000 1.784
Ni 0.000 0.000 5.341
Ni 0.000 0.000 13.198
Ni 0.000 0.000 16.756
Ag 0.000 0.000 9.270
Pd 1.372 1.372 0.000
Pd 1.372 1.372 3.564
Pd 1.372 1.372 7.105
Pd 1.372 1.372 11.435
Pd 1.372 1.372 14.975



Copy entry 9 word for word.
10
Lattice="2.743 0.000 0.000 0.000 2.743 0.000 0.000 0.000 18.539" Properties=species:S:1:pos:R:3 comment="GGA-PBE Ni4AgPd5, optimized geometry" total_magnetization_mub_per_cell=4.2 final_energy_ev_per_atom=-5.163 rho_g_cm3=10.41 crystal_system=tetragonal ef_ev_per_fu=0.3 pbc="T T T"
Ni 0.000 0.000 1.784
Ni 0.000 0.000 5.341
Ni 0.000 0.000 13.198
Ni 0.000 0.000 16.756
Ag 0.000 0.000 9.270
Pd 1.372 1.372 0.000
Pd 1.372 1.372 3.564
Pd 1.372 1.372 7.105
Pd 1.372 1.372 11.435
Pd 1.372 1.372 14.975